VASP calculation (PBE) on a relaxed structure of Al8Ni5.

**ΔE to the lowest computed polymorph**: 10.3 kJ per mole of atoms

Cell: 8.403 8.403 8.403 Å, 35.74 35.74 35.74°
Fractional positions:
1 Al 0.050 0.050 0.050
2 Al 0.087 0.592 0.592
3 Al 0.408 0.408 0.913
4 Al 0.408 0.913 0.408
5 Al 0.592 0.087 0.592
6 Al 0.592 0.592 0.087
7 Al 0.913 0.408 0.408
8 Al 0.950 0.950 0.950
9 Ni 0.150 0.150 0.150
10 Ni 0.331 0.331 0.331
11 Ni 0.500 0.500 0.500
12 Ni 0.669 0.669 0.669
13 Ni 0.850 0.850 0.850

***

VASP calculation (PBE) on a relaxed structure of YTmTl.

**ΔE to the lowest computed polymorph**: 0.0 kJ per mole of atoms

Cell: 5.130 5.130 5.130 Å, 60.00 60.00 60.00°
Fractional positions:
1 Y 0.000 0.000 0.000
2 Tm 0.500 0.500 0.500
3 Tl 0.750 0.750 0.750

***

> The lowest ΔE to the lowest computed polymorph belongs to which entry?

YTmTl